# DyZrS3 (GGA-PBE, optimized geometry)
# calculated density = 5.80 Mg/m³
# distance to the lowest polymorph of the same formula = 0.000 eV per formula unit
# crystal system = orthorhombic
# D(E_F) = 2.18 states/eV/f.u.
data_DyZrS3
_symmetry_space_group_name_H-M 'P 1'
_symmetry_Int_Tables_number 1
_cell_length_a 3.7347
_cell_length_b 7.0190
_cell_length_c 15.2957
_cell_angle_alpha 90.00
_cell_angle_beta 90.00
_cell_angle_gamma 90.00
loop_
_symmetry_equiv_pos_as_xyz
'x,y,z'
loop_
_atom_site_label
_atom_site_type_symbol
_atom_site_fract_x
_atom_site_fract_y
_atom_site_fract_z
Zr1 Zr 0.7500 0.2362 0.4563
Zr2 Zr 0.2500 0.7638 0.5437
Zr3 Zr 0.2500 0.2638 0.9563
Zr4 Zr 0.7500 0.7362 0.0437
S1 S 0.2500 0.1705 0.7856
S2 S 0.7500 0.0002 0.5981
S3 S 0.2500 0.4998 0.0981
S4 S 0.7500 0.8295 0.2144
S5 S 0.7500 0.3295 0.2856
S6 S 0.7500 0.6167 0.4378
S7 S 0.2500 0.8833 0.9378
S8 S 0.2500 0.3833 0.5622
S9 S 0.7500 0.5002 0.9019
S10 S 0.7500 0.1167 0.0622
S11 S 0.2500 0.6705 0.7144
S12 S 0.2500 0.9998 0.4019
Dy1 Dy 0.2500 0.1223 0.1935
Dy2 Dy 0.7500 0.8777 0.8065
Dy3 Dy 0.7500 0.3777 0.6935
Dy4 Dy 0.2500 0.6223 0.3065

=====

# DyZrS3 (GGA-PBE, optimized geometry)
# calculated density = 4.96 Mg/m³
# distance to the lowest polymorph of the same formula = 0.329 eV per formula unit
# crystal system = triclinic
# D(E_F) = 2.08 states/eV/f.u.
data_DyZrS3
_symmetry_space_group_name_H-M 'P 1'
_symmetry_Int_Tables_number 1
_cell_length_a 6.6205
_cell_length_b 6.6034
_cell_length_c 7.2242
_cell_angle_alpha 62.28
_cell_angle_beta 64.20
_cell_angle_gamma 60.51
loop_
_symmetry_equiv_pos_as_xyz
'x,y,z'
loop_
_atom_site_label
_atom_site_type_symbol
_atom_site_fract_x
_atom_site_fract_y
_atom_site_fract_z
S1 S 0.9492 0.2265 0.2551
S2 S 0.2285 0.5803 0.2368
S3 S 0.5534 0.9384 0.2719
S4 S 0.4466 0.0616 0.7281
S5 S 0.7715 0.4197 0.7632
S6 S 0.0508 0.7735 0.7449
Dy1 Dy 0.6513 0.6569 0.0443
Dy2 Dy 0.3487 0.3431 0.9558
Zr1 Zr 0.8569 0.8097 0.4803
Zr2 Zr 0.1431 0.1903 0.5197

=====

# Dy2ZrS4 (GGA-PBE, optimized geometry)
# calculated density = 5.55 Mg/m³
# E_tot = -6.719 eV/atom
# crystal system = monoclinic
# D(E_F) = 1.27 states/eV/f.u.
data_Dy2ZrS4
_symmetry_space_group_name_H-M 'P 1'
_symmetry_Int_Tables_number 1
_cell_length_a 3.8790
_cell_length_b 6.9323
_cell_length_c 7.3001
_cell_angle_alpha 119.32
_cell_angle_beta 105.41
_cell_angle_gamma 90.00
loop_
_symmetry_equiv_pos_as_xyz
'x,y,z'
loop_
_atom_site_label
_atom_site_type_symbol
_atom_site_fract_x
_atom_site_fract_y
_atom_site_fract_z
S1 S 0.8828 0.1937 0.7656
S2 S 0.1172 0.8063 0.2344
S3 S 0.6294 0.2729 0.2588
S4 S 0.3706 0.7271 0.7412
Dy1 Dy 0.7308 0.7414 0.4617
Dy2 Dy 0.2692 0.2586 0.5383
Zr1 Zr 0.0000 0.0000 0.0000

=====

# DyZr2S6 (GGA-PBE, optimized geometry)
# calculated density = 4.12 Mg/m³
# E_tot = -6.582 eV/atom
# crystal system = monoclinic
# D(E_F) = 1.88 states/eV/f.u.
data_DyZr2S6
_symmetry_space_group_name_H-M 'P 1'
_symmetry_Int_Tables_number 1
_cell_length_a 5.1119
_cell_length_b 6.7779
_cell_length_c 7.2536
_cell_angle_alpha 76.86
_cell_angle_beta 69.37
_cell_angle_gamma 67.85
loop_
_symmetry_equiv_pos_as_xyz
'x,y,z'
loop_
_atom_site_label
_atom_site_type_symbol
_atom_site_fract_x
_atom_site_fract_y
_atom_site_fract_z
S1 S 0.0649 0.1178 0.7524
S2 S 0.2709 0.3470 0.1111
S3 S 0.6122 0.3252 0.4504
S4 S 0.9351 0.8822 0.2476
S5 S 0.3878 0.6748 0.5496
S6 S 0.7291 0.6530 0.8889
Zr1 Zr 0.8300 0.2575 0.0824
Zr2 Zr 0.1700 0.7425 0.9176
Dy1 Dy 0.0000 0.5000 0.5000